1.
Crystalline Er2ScCuS5 at its relaxed geometry. Source: Alexandria, functional PBE.

a = 8.297 Å, b = 8.297 Å, c = 11.281 Å
α = 90.00°, β = 90.00°, γ = 153.87°
Atoms (fractional coordinates):
Er1 0.109 0.891 0.500
Er2 0.126 0.874 0.122
Er3 0.874 0.126 0.622
Er4 0.891 0.109 0.000
Sc1 0.194 0.806 0.826
Sc2 0.806 0.194 0.326
Cu1 0.438 0.562 0.269
Cu2 0.562 0.438 0.769
S1 0.046 0.954 0.879
S2 0.286 0.714 0.484
S3 0.310 0.690 0.165
S4 0.355 0.645 0.816
S5 0.497 0.503 0.593
S6 0.503 0.497 0.093
S7 0.645 0.355 0.316
S8 0.690 0.310 0.665
S9 0.714 0.286 0.984
S10 0.954 0.046 0.379

Computed properties:
Energy relative to the elements, uncorrected: -1.677 eV per atom
Density of states at the Fermi level: 0.01 states/eV/atom


2.
Crystalline Er8CuSe4S3 at its relaxed geometry. Source: Alexandria, functional PBE.

a = 7.999 Å, b = 7.999 Å, c = 7.999 Å
α = 59.23°, β = 59.23°, γ = 59.23°
Atoms (fractional coordinates):
Er1 0.242 0.242 0.242
Er2 0.248 0.741 0.741
Er3 0.259 0.259 0.752
Er4 0.259 0.752 0.259
Er5 0.741 0.248 0.741
Er6 0.741 0.741 0.248
Er7 0.752 0.259 0.259
Er8 0.758 0.758 0.758
Cu1 0.500 0.500 0.500
Se1 0.000 0.000 0.000
Se2 0.000 0.500 0.500
Se3 0.500 0.000 0.500
Se4 0.500 0.500 0.000
S1 0.000 0.000 0.500
S2 0.000 0.500 0.000
S3 0.500 0.000 0.000

Computed properties:
Energy relative to the elements, uncorrected: -1.631 eV per atom
Density of states at the Fermi level: 0.41 states/eV/atom


3.
Crystalline Er4CuSeS2 at its relaxed geometry. Source: Alexandria, functional PBE.

a = 6.876 Å, b = 3.851 Å, c = 6.914 Å
α = 90.00°, β = 108.36°, γ = 90.00°
Atoms (fractional coordinates):
Er1 0.239 0.000 0.240
Er2 0.243 0.500 0.751
Er3 0.757 0.500 0.249
Er4 0.761 0.000 0.760
Cu1 0.000 0.000 0.500
Se1 0.500 0.500 0.500
S1 0.000 0.500 0.000
S2 0.500 0.000 0.000

Computed properties:
Energy relative to the elements, uncorrected: -1.446 eV per atom
Density of states at the Fermi level: 0.58 states/eV/atom


4.
Crystalline Er3CuSiS7 at its relaxed geometry. Source: Alexandria, functional PBE.

a = 9.812 Å, b = 9.812 Å, c = 5.702 Å
α = 90.00°, β = 90.00°, γ = 120.00°
Atoms (fractional coordinates):
Er1 0.131 0.357 0.000
Er2 0.226 0.869 0.000
Er3 0.357 0.226 0.500
Er4 0.643 0.774 0.000
Er5 0.774 0.131 0.500
Er6 0.869 0.643 0.500
Cu1 0.000 0.000 0.447
Cu2 0.000 0.000 0.947
Si1 0.333 0.667 0.589
Si2 0.667 0.333 0.089
S1 0.098 0.260 0.466
S2 0.105 0.582 0.740
S3 0.162 0.902 0.466
S4 0.260 0.162 0.966
S5 0.333 0.667 0.218
S6 0.418 0.523 0.740
S7 0.477 0.895 0.740
S8 0.523 0.105 0.240
S9 0.582 0.477 0.240
S10 0.667 0.333 0.718
S11 0.740 0.838 0.466
S12 0.838 0.098 0.966
S13 0.895 0.418 0.240
S14 0.902 0.740 0.966

Computed properties:
Energy relative to the elements, uncorrected: -1.506 eV per atom
Density of states at the Fermi level: 0.00 states/eV/atom


5.
Crystalline Sm2ErCuS5 at its relaxed geometry. Source: Alexandria, functional PBE.

a = 8.593 Å, b = 8.593 Å, c = 11.551 Å
α = 90.00°, β = 90.00°, γ = 153.93°
Atoms (fractional coordinates):
Sm1 0.108 0.892 0.500
Sm2 0.122 0.878 0.124
Sm3 0.878 0.122 0.624
Sm4 0.892 0.108 0.000
Er1 0.195 0.805 0.824
Er2 0.805 0.195 0.324
Cu1 0.442 0.558 0.269
Cu2 0.558 0.442 0.769
S1 0.043 0.957 0.875
S2 0.289 0.711 0.488
S3 0.314 0.686 0.162
S4 0.357 0.643 0.816
S5 0.498 0.502 0.593
S6 0.502 0.498 0.093
S7 0.643 0.357 0.316
S8 0.686 0.314 0.662
S9 0.711 0.289 0.988
S10 0.957 0.043 0.375

Computed properties:
Energy relative to the elements, uncorrected: -1.747 eV per atom
Density of states at the Fermi level: 0.00 states/eV/atom


6.
Crystalline TbEr4CuS8 at its relaxed geometry. Source: Alexandria, functional PBE.

a = 7.889 Å, b = 7.889 Å, c = 7.889 Å
α = 59.76°, β = 59.76°, γ = 59.76°
Atoms (fractional coordinates):
Tb1 0.000 0.000 0.000
Er1 0.000 0.000 0.481
Er2 0.000 0.481 0.000
Er3 0.481 0.000 0.000
Er4 0.621 0.621 0.621
Cu1 0.370 0.370 0.370
S1 0.220 0.752 0.752
S2 0.243 0.243 0.243
S3 0.245 0.245 0.750
S4 0.245 0.750 0.245
S5 0.750 0.245 0.245
S6 0.752 0.220 0.752
S7 0.752 0.752 0.220
S8 0.754 0.754 0.754

Computed properties:
Energy relative to the elements, uncorrected: -1.816 eV per atom


Question: Which value of energy relative to the elements, uncorrected does entry 5 give?
Answer: -1.747 eV per atom